CoI2F: optimized geometry, GGA-PBEsol.

```
data_CoI2F
_space_group_name_H-M_alt 'I -4 2 d'
_space_group_IT_number 122
_space_group_name_Hall 'I -4 2bw'
_cell_length_a 6.307
_cell_length_b 6.307
_cell_length_c 9.945
_cell_angle_alpha 90.00
_cell_angle_beta 90.00
_cell_angle_gamma 90.00
loop_
_atom_site_label
_atom_site_fract_x
_atom_site_fract_y
_atom_site_fract_z
_atom_site_occupancy
Co1 0.000 0.000 0.000 1
I1 0.205 0.750 0.125 1
F1 0.000 0.000 0.500 1
```

The calculation puts the total magnetization at 0.25 μB/atom. The calculation puts the formation energy from raw total energies at -0.1814 eV/atom. The density of states at the Fermi level is 15.75 states/eV per cell. For the calculated volume, the calculation gives 396 Å³/cell.


LiCoIF2: optimized geometry, GGA-PBEsol.

```
data_LiCoIF2
_space_group_name_H-M_alt 'P 4/m m m'
_space_group_IT_number 123
_space_group_name_Hall '-P 4 2'
_cell_length_a 3.783
_cell_length_b 3.783
_cell_length_c 6.971
_cell_angle_alpha 90.00
_cell_angle_beta 90.00
_cell_angle_gamma 90.00
loop_
_atom_site_label
_atom_site_fract_x
_atom_site_fract_y
_atom_site_fract_z
_atom_site_occupancy
Li1 0.000 0.000 0.000 1
Co1 0.000 0.000 0.500 1
I1 0.500 0.500 0.000 1
F1 0.000 0.500 0.500 1
```

The calculation puts the total magnetization at 0.55 μB/atom. The calculation puts the formation energy from raw total energies at -1.2174 eV/atom. The density of states at the Fermi level is 3.83 states/eV per cell. For the calculated volume, the calculation gives 100 Å³/cell.


CoMoIF2: optimized geometry, GGA-PBEsol.

```
data_CoMoIF2
_space_group_name_H-M_alt 'P 4/m m m'
_space_group_IT_number 123
_space_group_name_Hall '-P 4 2'
_cell_length_a 3.871
_cell_length_b 3.871
_cell_length_c 5.179
_cell_angle_alpha 90.00
_cell_angle_beta 90.00
_cell_angle_gamma 90.00
loop_
_atom_site_label
_atom_site_fract_x
_atom_site_fract_y
_atom_site_fract_z
_atom_site_occupancy
Co1 0.000 0.000 0.000 1
Mo1 0.000 0.000 0.500 1
I1 0.500 0.500 0.500 1
F1 0.000 0.500 0.000 1
```

The calculation puts the total magnetization at 0.78 μB/atom. The calculation puts the formation energy from raw total energies at -0.3197 eV/atom. The density of states at the Fermi level is 5.08 states/eV per cell. For the calculated volume, the calculation gives 78 Å³/cell.


CoI2NF: optimized geometry, GGA-PBEsol.

```
data_CoI2NF
_space_group_name_H-M_alt 'P 4/m m m'
_space_group_IT_number 123
_space_group_name_Hall '-P 4 2'
_cell_length_a 5.247
_cell_length_b 5.247
_cell_length_c 3.330
_cell_angle_alpha 90.00
_cell_angle_beta 90.00
_cell_angle_gamma 90.00
loop_
_atom_site_label
_atom_site_fract_x
_atom_site_fract_y
_atom_site_fract_z
_atom_site_occupancy
Co1 0.000 0.000 0.000 1
I1 0.000 0.500 0.000 1
N1 0.000 0.000 0.500 1
F1 0.500 0.500 0.500 1
```

The calculation puts the total magnetization at 0.10 μB/atom. The offset from the most stable computed form comes out at 0 meV per atom. The calculation puts the formation energy from raw total energies at 0.1568 eV/atom. The density of states at the Fermi level is 6.20 states/eV per cell. For the calculated volume, the calculation gives 92 Å³/cell.


CoI2NF: optimized geometry, GGA-PBEsol.

```
data_CoI2NF
_space_group_name_H-M_alt 'P 4/m m m'
_space_group_IT_number 123
_space_group_name_Hall '-P 4 2'
_cell_length_a 5.191
_cell_length_b 5.191
_cell_length_c 3.695
_cell_angle_alpha 90.00
_cell_angle_beta 90.00
_cell_angle_gamma 90.00
loop_
_atom_site_label
_atom_site_fract_x
_atom_site_fract_y
_atom_site_fract_z
_atom_site_occupancy
Co1 0.000 0.000 0.000 1
I1 0.000 0.500 0.500 1
N1 0.500 0.500 0.000 1
F1 0.500 0.500 0.500 1
```

The calculation puts the total magnetization at 0.86 μB/atom. The offset from the most stable computed form comes out at 1313 meV per atom. The calculation puts the formation energy from raw total energies at 1.4701 eV/atom. The density of states at the Fermi level is 8.12 states/eV per cell. For the calculated volume, the calculation gives 100 Å³/cell.


CoIrO2F: optimized geometry, GGA-PBEsol.

```
data_CoIrO2F
_space_group_name_H-M_alt 'P 4/m m m'
_space_group_IT_number 123
_space_group_name_Hall '-P 4 2'
_cell_length_a 3.626
_cell_length_b 3.626
_cell_length_c 6.062
_cell_angle_alpha 90.00
_cell_angle_beta 90.00
_cell_angle_gamma 90.00
loop_
_atom_site_label
_atom_site_fract_x
_atom_site_fract_y
_atom_site_fract_z
_atom_site_occupancy
Co1 0.000 0.000 0.000 1
Ir1 0.500 0.500 0.500 1
O1 0.000 0.500 0.500 1
F1 0.500 0.500 0.000 1
```

The calculation puts the total magnetization at 0.48 μB/atom. The calculation puts the formation energy from raw total energies at 0.0212 eV/atom. The density of states at the Fermi level is 6.82 states/eV per cell. For the calculated volume, the calculation gives 80 Å³/cell.